Here is Pm4SmRh2 after structural relaxation from Alexandria via LeMat-Bulk. Energies are from GGA-PBE.

POSCAR file:
```
Pm4SmRh2
1.0
8.0000 0.0000 0.0000
0.0000 6.5738 0.0000
-3.2282 0.0000 7.3943
Pm Sm Rh
8 2 4
direct
0.0156 0.2500 0.3808 Pm
0.2515 0.7500 0.3395 Pm
0.4110 0.0047 0.7655 Pm
0.4110 0.4953 0.7655 Pm
0.5890 0.5047 0.2345 Pm
0.5890 0.9953 0.2345 Pm
0.7485 0.2500 0.6605 Pm
0.9844 0.7500 0.6192 Pm
0.1538 0.2500 0.0286 Sm
0.8462 0.7500 0.9714 Sm
0.2406 0.7500 0.9911 Rh
0.3693 0.2500 0.4054 Rh
0.6307 0.7500 0.5946 Rh
0.7594 0.2500 0.0089 Rh
```

Properties
As for the symmetry: P2_1/m. Its volume is 388.9 Å³ per cell. The excess energy over the best structure of this formula in the dataset is 0.0 kJ per mole of atoms. For the total DFT energy (no corrections), the calculation gives -82.18 eV per cell. The calculation puts the calculated density at 8.00 g cm⁻³.

Here is Pm3SmRh8 after structural relaxation from Alexandria via LeMat-Bulk. Energies are from GGA-PBE.

POSCAR file:
```
Pm3SmRh8
1.0
2.6981 1.5577 8.8154
-2.6981 1.5577 8.8154
0.0000 -3.1155 8.8154
Pm Sm Rh
3 1 8
direct
0.0000 0.0000 0.0000 Pm
0.1252 0.1252 0.1252 Pm
0.5002 0.5002 0.5002 Pm
0.6253 0.6253 0.6253 Sm
0.0624 0.5626 0.5626 Rh
0.0628 0.0628 0.5629 Rh
0.0628 0.5629 0.0628 Rh
0.3127 0.3127 0.3127 Rh
0.5626 0.0624 0.5626 Rh
0.5629 0.0628 0.0628 Rh
0.5626 0.5626 0.0624 Rh
0.8127 0.8127 0.8127 Rh
```

Properties
As for the symmetry: R3m. Its volume is 222.3 Å³ per cell. For the total DFT energy (no corrections), the calculation gives -86.00 eV per cell. The calculation puts the calculated density at 10.52 g cm⁻³.

Here is Pm2SmSn3Rh4 after structural relaxation from Alexandria via LeMat-Bulk. Energies are from GGA-PBE.

POSCAR file:
```
Pm2SmSn3Rh4
1.0
4.4233 0.0000 0.0000
0.0000 4.4233 0.0000
0.0000 0.0000 11.5082
Pm Sm Sn Rh
2 1 3 4
direct
0.0000 0.5000 0.2275 Pm
0.5000 0.0000 0.7725 Pm
0.0000 0.0000 0.5000 Sm
0.0000 0.5000 0.8747 Sn
0.5000 0.0000 0.1253 Sn
0.5000 0.5000 0.5000 Sn
0.0000 0.0000 0.0000 Rh
0.0000 0.5000 0.6496 Rh
0.5000 0.0000 0.3504 Rh
0.5000 0.5000 0.0000 Rh
```

Properties
As for the symmetry: P-4m2. Its volume is 225.2 Å³ per cell. For the total DFT energy (no corrections), the calculation gives -62.78 eV per cell. The calculation puts the calculated density at 8.91 g cm⁻³.

Here is PmSmTlRh after structural relaxation from Alexandria via LeMat-Bulk. Energies are from GGA-PBE.

POSCAR file:
```
PmSmTlRh
1.0
3.5801 0.0000 0.0000
0.0000 3.5801 0.0000
0.0000 0.0000 7.9340
Pm Sm Tl Rh
1 1 1 1
direct
0.0000 0.0000 0.0000 Pm
0.0000 0.0000 0.5738 Sm
0.5000 0.5000 0.2887 Tl
0.5000 0.5000 0.7839 Rh
```

Properties
As for the symmetry: P4mm. Its volume is 101.7 Å³ per cell. The excess energy over the best structure of this formula in the dataset is 0.0 kJ per mole of atoms. For the total DFT energy (no corrections), the calculation gives -21.33 eV per cell. The calculation puts the calculated density at 9.84 g cm⁻³.

Here is PmSmTlRh after structural relaxation from Alexandria via LeMat-Bulk. Energies are from GGA-PBE.

POSCAR file:
```
PmSmTlRh
1.0
0.0000 3.6995 3.6995
3.6995 0.0000 3.6995
3.6995 3.6995 0.0000
Pm Sm Tl Rh
1 1 1 1
direct
0.0000 0.0000 0.0000 Pm
0.5000 0.5000 0.5000 Sm
0.7500 0.7500 0.7500 Tl
0.2500 0.2500 0.2500 Rh
```

Properties
As for the symmetry: F-43m. Its volume is 101.3 Å³ per cell. The excess energy over the best structure of this formula in the dataset is 11.4 kJ per mole of atoms. For the total DFT energy (no corrections), the calculation gives -20.86 eV per cell. The calculation puts the calculated density at 9.88 g cm⁻³.

Here is Pm3Sm3Tl2Rh after structural relaxation from Alexandria via LeMat-Bulk. Energies are from GGA-PBE.

POSCAR file:
```
Pm3Sm3Tl2Rh
1.0
8.8865 0.0000 0.0000
-4.4433 7.6960 0.0000
0.0000 0.0000 3.8709
Pm Sm Tl Rh
3 3 2 1
direct
0.0000 0.7582 0.0000 Pm
0.2418 0.2418 0.0000 Pm
0.7582 0.0000 0.0000 Pm
0.0000 0.3982 0.5000 Sm
0.3982 0.0000 0.5000 Sm
0.6018 0.6018 0.5000 Sm
0.3333 0.6667 0.0000 Tl
0.6667 0.3333 0.0000 Tl
0.0000 0.0000 0.5000 Rh
```

Properties
As for the symmetry: P-62m. Its volume is 264.7 Å³ per cell. For the total DFT energy (no corrections), the calculation gives -43.82 eV per cell. The calculation puts the calculated density at 8.77 g cm⁻³.

Here is Pm2Sm2ZnRh4 after structural relaxation from Alexandria via LeMat-Bulk. Energies are from GGA-PBE.

POSCAR file:
```
Pm2Sm2ZnRh4
1.0
-3.3983 3.3983 4.2794
3.3983 -3.3983 4.2794
3.3983 3.3983 -4.2794
Pm Sm Zn Rh
2 2 1 4
direct
0.2500 0.7500 0.5000 Pm
0.7500 0.2500 0.5000 Pm
0.1874 0.1874 0.0000 Sm
0.8126 0.8126 0.0000 Sm
0.5000 0.5000 0.0000 Zn
0.2410 0.2410 0.4820 Rh
0.2410 0.7590 0.0000 Rh
0.7590 0.2410 0.0000 Rh
0.7590 0.7590 0.5180 Rh
```

Properties
As for the symmetry: I4/mmm. Its volume is 197.7 Å³ per cell. For the total DFT energy (no corrections), the calculation gives -53.07 eV per cell. The calculation puts the calculated density at 8.97 g cm⁻³.

Here is Pm6SnRh2 after structural relaxation from Alexandria via LeMat-Bulk. Energies are from GGA-PBE.

POSCAR file:
```
Pm6SnRh2
1.0
-4.7829 4.9659 5.3576
4.7829 -4.9659 5.3576
4.7829 4.9659 -5.3576
Pm Sn Rh
12 2 4
direct
0.0335 0.2339 0.7996 Pm
0.1810 0.2928 0.4738 Pm
0.1810 0.7072 0.8882 Pm
0.3293 0.0204 0.6912 Pm
0.3293 0.6381 0.3088 Pm
0.4344 0.2339 0.2004 Pm
0.5656 0.7661 0.7996 Pm
0.6707 0.3619 0.6912 Pm
0.6707 0.9796 0.3088 Pm
0.8190 0.2928 0.1118 Pm
0.8190 0.7072 0.5262 Pm
0.9665 0.7661 0.2004 Pm
0.0000 0.0000 0.0000 Sn
0.5000 0.5000 0.0000 Sn
0.1329 0.6329 0.5000 Rh
0.3365 0.0000 0.3365 Rh
0.6635 0.0000 0.6635 Rh
0.8671 0.3671 0.5000 Rh
```

Properties
As for the symmetry: Immm. Its volume is 509.0 Å³ per cell. For the total DFT energy (no corrections), the calculation gives -104.45 eV per cell. The calculation puts the calculated density at 7.79 g cm⁻³.

Here is PmSn5Rh3 after structural relaxation from Alexandria via LeMat-Bulk. Energies are from GGA-PBE.

POSCAR file:
```
PmSn5Rh3
1.0
5.8364 -4.5780 0.0000
5.8364 4.5780 0.0000
-5.0088 0.0000 8.5278
Pm Sn Rh
2 10 6
direct
0.0975 0.0975 0.3044 Pm
0.9025 0.9025 0.6956 Pm
0.0599 0.6164 0.3448 Sn
0.2435 0.2435 0.0414 Sn
0.3007 0.6993 0.0000 Sn
0.3836 0.9401 0.6552 Sn
0.4153 0.4153 0.6466 Sn
0.5847 0.5847 0.3534 Sn
0.6164 0.0599 0.3448 Sn
0.6993 0.3007 0.0000 Sn
0.7565 0.7565 0.9586 Sn
0.9401 0.3836 0.6552 Sn
0.0000 0.0000 0.0000 Rh
0.0000 0.0000 0.5000 Rh
0.3064 0.3064 0.8230 Rh
0.3605 0.3605 0.3486 Rh
0.6395 0.6395 0.6514 Rh
0.6936 0.6936 0.1770 Rh
```

Properties
As for the symmetry: C2/m. Its volume is 455.7 Å³ per cell. For the total DFT energy (no corrections), the calculation gives -100.71 eV per cell. The calculation puts the calculated density at 7.63 g cm⁻³.

Here is PmSn2Rh after structural relaxation from Alexandria via LeMat-Bulk. Energies are from GGA-PBE.

POSCAR file:
```
PmSn2Rh
1.0
2.2814 -9.6012 0.0000
2.2814 9.6012 0.0000
0.0000 0.0000 4.4433
Pm Sn Rh
2 4 2
direct
0.1397 0.8603 0.0000 Pm
0.8603 0.1397 0.0000 Pm
0.0000 0.0000 0.5000 Sn
0.2923 0.7077 0.5000 Sn
0.5000 0.5000 0.0000 Sn
0.7077 0.2923 0.5000 Sn
0.4249 0.5751 0.5000 Rh
0.5751 0.4249 0.5000 Rh
```

Properties
As for the symmetry: Cmmm. Its volume is 194.6 Å³ per cell. The excess energy over the best structure of this formula in the dataset is 2.4 kJ per mole of atoms. For the total DFT energy (no corrections), the calculation gives -45.57 eV per cell. The calculation puts the calculated density at 8.28 g cm⁻³.